This record from Alexandria via LeMat-Bulk describes an optimized crystal structure of Hf4Ni2Pd. The functional is PBE.

Unit cell a=9.068 b=9.068 c=9.068 alpha=26.98 beta=26.98 gamma=26.98
Element x y z (fractional)
Hf 0.116 0.116 0.116
Hf 0.297 0.297 0.297
Hf 0.703 0.703 0.703
Hf 0.884 0.884 0.884
Ni 0.399 0.399 0.399
Ni 0.601 0.601 0.601
Pd 0.500 0.500 0.500

Final energy   -58.1 eV per cell
Formation energy from the elements   -0.215 eV per atom

This record from Alexandria via LeMat-Bulk describes an optimized crystal structure of Pm5MgCu4. The functional is PBE.

Unit cell a=3.577 b=3.577 c=18.711 alpha=90.00 beta=90.00 gamma=90.00
Element x y z (fractional)
Pm 0.000 0.000 0.000
Pm 0.000 0.000 0.191
Pm 0.000 0.000 0.379
Pm 0.000 0.000 0.621
Pm 0.000 0.000 0.809
Mg 0.500 0.500 0.500
Cu 0.500 0.500 0.095
Cu 0.500 0.500 0.288
Cu 0.500 0.500 0.712
Cu 0.500 0.500 0.905

Final energy   -43.2 eV per cell
Formation energy from the elements   -0.145 eV per atom

This record from Alexandria via LeMat-Bulk describes an optimized crystal structure of Tb5Sm8In. The functional is PBE.

Unit cell a=8.631 b=8.631 c=8.631 alpha=104.93 beta=102.57 gamma=121.65
Element x y z (fractional)
Tb 0.000 0.000 0.000
Tb 0.269 0.456 0.813
Tb 0.627 0.427 0.800
Tb 0.627 0.827 0.200
Tb 0.642 0.456 0.187
Sm 0.082 0.000 0.461
Sm 0.082 0.622 0.083
Sm 0.479 0.139 0.340
Sm 0.539 0.000 0.917
Sm 0.539 0.622 0.539
Sm 0.798 0.139 0.660
Sm 0.986 0.323 0.338
Sm 0.986 0.648 0.662
In 0.319 0.819 0.500

Final energy   -61.8 eV per cell
Formation energy from the elements   0.129 eV per atom

This record from Alexandria via LeMat-Bulk describes an optimized crystal structure of Sr3Ce2PaSb6. The functional is PBE.

Unit cell a=7.973 b=7.973 c=8.019 alpha=99.55 beta=99.55 gamma=119.99
Element x y z (fractional)
Sr 0.000 0.000 0.000
Sr 0.330 0.670 0.000
Sr 0.670 0.330 0.000
Ce 0.166 0.834 0.500
Ce 0.834 0.166 0.500
Pa 0.500 0.500 0.500
Sb 0.102 0.426 0.277
Sb 0.252 0.252 0.724
Sb 0.426 0.102 0.277
Sb 0.574 0.898 0.723
Sb 0.748 0.748 0.276
Sb 0.898 0.574 0.723

Final energy   -62.6 eV per cell

This record from Alexandria via LeMat-Bulk describes an optimized crystal structure of NaCa3Cd. The functional is PBE.

Unit cell a=5.196 b=9.490 c=7.333 alpha=90.00 beta=90.00 gamma=90.00
Element x y z (fractional)
Na 0.250 0.250 0.057
Na 0.750 0.750 0.943
Ca 0.250 0.550 0.704
Ca 0.250 0.750 0.255
Ca 0.250 0.950 0.704
Ca 0.750 0.050 0.296
Ca 0.750 0.250 0.745
Ca 0.750 0.450 0.296
Cd 0.250 0.250 0.474
Cd 0.750 0.750 0.526

Final energy   -17.3 eV per cell
Formation energy from the elements   -0.085 eV per atom

This record from Alexandria via LeMat-Bulk describes an optimized crystal structure of BaNdBi2. The functional is PBE.

Unit cell a=8.742 b=8.742 c=8.742 alpha=31.30 beta=31.30 gamma=31.30
Element x y z (fractional)
Ba 0.000 0.000 0.000
Nd 0.500 0.500 0.500
Bi 0.240 0.240 0.240
Bi 0.760 0.760 0.760

Final energy   -17.7 eV per cell
Formation energy from the elements   -0.813 eV per atom

This record from Alexandria via LeMat-Bulk describes an optimized crystal structure of SiPPb. The functional is PBE.

Unit cell a=4.772 b=4.772 c=4.772 alpha=60.00 beta=60.00 gamma=60.00
Element x y z (fractional)
Si 0.000 0.000 0.000
P 0.500 0.500 0.500
Pb 0.250 0.250 0.250

Final energy   -11.9 eV per cell

This record from Alexandria via LeMat-Bulk describes an optimized crystal structure of La2PmHo2Mg5. The functional is PBE.

Unit cell a=10.690 b=10.690 c=5.146 alpha=90.00 beta=90.00 gamma=90.00
Element x y z (fractional)
La 0.176 0.324 0.000
La 0.324 0.824 0.000
La 0.676 0.176 0.000
La 0.824 0.676 0.000
Pm 0.000 0.000 0.000
Pm 0.500 0.500 0.000
Ho 0.120 0.620 0.000
Ho 0.380 0.120 0.000
Ho 0.620 0.880 0.000
Ho 0.880 0.380 0.000
Mg 0.000 0.500 0.500
Mg 0.073 0.800 0.500
Mg 0.200 0.073 0.500
Mg 0.300 0.573 0.500
Mg 0.427 0.300 0.500
Mg 0.500 0.000 0.500
Mg 0.573 0.700 0.500
Mg 0.700 0.427 0.500
Mg 0.800 0.927 0.500
Mg 0.927 0.200 0.500

Final energy   -63.4 eV per cell
Formation energy from the elements   0.002 eV per atom

This record from Alexandria via LeMat-Bulk describes an optimized crystal structure of BeReCl2. The functional is PBE.

Unit cell a=4.576 b=4.576 c=4.576 alpha=60.00 beta=60.00 gamma=60.00
Element x y z (fractional)
Be 0.000 0.000 0.000
Re 0.750 0.750 0.750
Cl 0.250 0.250 0.250
Cl 0.500 0.500 0.500

Final energy   -14.1 eV per cell

This record from Alexandria via LeMat-Bulk describes an optimized crystal structure of Ge2HCl6. The functional is PBE.

Unit cell a=8.239 b=8.239 c=9.509 alpha=104.86 beta=104.86 gamma=81.92
Element x y z (fractional)
Ge 0.119 0.240 0.210
Ge 0.240 0.119 0.710
Ge 0.760 0.881 0.290
Ge 0.881 0.760 0.790
H 0.258 0.742 0.750
H 0.742 0.258 0.250
Cl 0.145 0.147 0.943
Cl 0.147 0.145 0.443
Cl 0.174 0.642 0.829
Cl 0.234 0.482 0.287
Cl 0.358 0.826 0.671
Cl 0.482 0.234 0.787
Cl 0.518 0.766 0.213
Cl 0.642 0.174 0.329
Cl 0.766 0.518 0.713
Cl 0.826 0.358 0.171
Cl 0.853 0.855 0.557
Cl 0.855 0.853 0.057

Final energy   -59.1 eV per cell

This record from Alexandria via LeMat-Bulk describes an optimized crystal structure of CaMg2InN. The functional is PBE.

Unit cell a=4.443 b=4.443 c=4.917 alpha=90.00 beta=90.00 gamma=90.00
Element x y z (fractional)
Ca 0.000 0.000 0.000
Mg 0.000 0.500 0.500
Mg 0.500 0.000 0.500
In 0.500 0.500 0.000
N 0.000 0.000 0.500

Final energy   -18.3 eV per cell

This record from Alexandria via LeMat-Bulk describes an optimized crystal structure of La6Os2I3N. The functional is PBE.

Unit cell a=7.150 b=7.150 c=8.512 alpha=98.15 beta=98.15 gamma=119.74
Element x y z (fractional)
La 0.058 0.374 0.178
La 0.259 0.259 0.820
La 0.374 0.058 0.178
La 0.626 0.942 0.822
La 0.741 0.741 0.180
La 0.942 0.626 0.822
Os 0.333 0.667 0.000
Os 0.667 0.333 0.000
I 0.171 0.829 0.500
I 0.500 0.500 0.500
I 0.829 0.171 0.500
N 0.000 0.000 0.000

Final energy   -75.5 eV per cell

This record from Alexandria via LeMat-Bulk describes an optimized crystal structure of Mg5Pd12Pb2. The functional is PBE.

Unit cell a=7.711 b=7.711 c=6.123 alpha=93.73 beta=93.73 gamma=63.90
Element x y z (fractional)
Mg 0.000 0.000 0.000
Mg 0.247 0.247 0.019
Mg 0.336 0.336 0.580
Mg 0.664 0.664 0.420
Mg 0.753 0.753 0.981
Pd 0.040 0.559 0.296
Pd 0.146 0.146 0.371
Pd 0.174 0.622 0.907
Pd 0.378 0.826 0.093
Pd 0.441 0.960 0.704
Pd 0.455 0.455 0.233
Pd 0.545 0.545 0.767
Pd 0.559 0.040 0.296
Pd 0.622 0.174 0.907
Pd 0.826 0.378 0.093
Pd 0.854 0.854 0.629
Pd 0.960 0.441 0.704
Pb 0.220 0.780 0.500
Pb 0.780 0.220 0.500

Final energy   -86.7 eV per cell
Formation energy from the elements   -0.472 eV per atom

This record from Alexandria via LeMat-Bulk describes an optimized crystal structure of PPbCl2. The functional is PBE.

Unit cell a=4.609 b=4.609 c=4.293 alpha=90.00 beta=90.00 gamma=90.00
Element x y z (fractional)
P 0.000 0.000 0.000
Pb 0.500 0.500 0.000
Cl 0.000 0.500 0.500
Cl 0.500 0.000 0.500

Final energy   -12.3 eV per cell

This record from Alexandria via LeMat-Bulk describes an optimized crystal structure of Li3Cd4Sn2. The functional is PBE.

Unit cell a=4.401 b=5.465 c=9.023 alpha=104.43 beta=90.77 gamma=113.45
Element x y z (fractional)
Li 0.000 0.000 0.000
Li 0.324 0.650 0.437
Li 0.676 0.350 0.563
Cd 0.003 0.999 0.340
Cd 0.336 0.675 0.110
Cd 0.664 0.325 0.890
Cd 0.997 0.001 0.660
Sn 0.336 0.666 0.771
Sn 0.664 0.334 0.229

Final energy   -19.2 eV per cell
Formation energy from the elements   -0.198 eV per atom

This record from Alexandria via LeMat-Bulk describes an optimized crystal structure of Mg3Sc2Zn2. The functional is PBE.

Unit cell a=10.423 b=10.423 c=3.265 alpha=90.00 beta=90.00 gamma=155.82
Element x y z (fractional)
Mg 0.000 0.000 0.000
Mg 0.421 0.579 0.500
Mg 0.579 0.421 0.500
Sc 0.167 0.833 0.000
Sc 0.833 0.167 0.000
Zn 0.285 0.715 0.500
Zn 0.715 0.285 0.500

Final energy   -21.2 eV per cell
Formation energy from the elements   -0.173 eV per atom

This record from Alexandria via LeMat-Bulk describes an optimized crystal structure of YbPaPt2. The functional is PBE.

Unit cell a=4.949 b=4.949 c=4.949 alpha=60.00 beta=60.00 gamma=60.00
Element x y z (fractional)
Yb 0.000 0.000 0.000
Pa 0.500 0.500 0.500
Pt 0.250 0.250 0.250
Pt 0.750 0.750 0.750

Final energy   -26.8 eV per cell
Formation energy from the elements   -0.934 eV per atom

This record from Alexandria via LeMat-Bulk describes an optimized crystal structure of KBePRh2. The functional is PBE.

Unit cell a=4.270 b=4.270 c=4.765 alpha=90.00 beta=90.00 gamma=90.00
Element x y z (fractional)
K 0.000 0.000 0.000
Be 0.000 0.000 0.500
P 0.500 0.500 0.000
Rh 0.000 0.500 0.500
Rh 0.500 0.000 0.500

Final energy   -21.2 eV per cell
Formation energy from the elements   0.751 eV per atom

This record from Alexandria via LeMat-Bulk describes an optimized crystal structure of Pa2S3O. The functional is PBE.

Unit cell a=6.883 b=6.883 c=6.883 alpha=66.16 beta=66.16 gamma=66.16
Element x y z (fractional)
Pa 0.130 0.130 0.130
Pa 0.370 0.370 0.370
Pa 0.630 0.630 0.630
Pa 0.870 0.870 0.870
S 0.026 0.750 0.474
S 0.250 0.526 0.974
S 0.474 0.026 0.750
S 0.526 0.974 0.250
S 0.750 0.474 0.026
S 0.974 0.250 0.526
O 0.000 0.000 0.000
O 0.500 0.500 0.500

Final energy   -96.7 eV per cell

This record from Alexandria via LeMat-Bulk describes an optimized crystal structure of YCd2W. The functional is PBE.

Unit cell a=5.523 b=5.523 c=5.434 alpha=99.21 beta=99.21 gamma=31.60
Element x y z (fractional)
Y 0.000 0.000 0.000
Cd 0.239 0.239 0.729
Cd 0.761 0.761 0.271
W 0.500 0.500 0.500

Final energy   -19.6 eV per cell
Formation energy from the elements   0.404 eV per atom

This record from Alexandria via LeMat-Bulk describes an optimized crystal structure of PrHo3Mn. The functional is PBE.

Unit cell a=5.322 b=5.322 c=5.322 alpha=90.00 beta=90.00 gamma=90.00
Element x y z (fractional)
Pr 0.000 0.000 0.000
Ho 0.000 0.500 0.500
Ho 0.500 0.000 0.500
Ho 0.500 0.500 0.000
Mn 0.500 0.500 0.500

Final energy   -26.6 eV per cell
Formation energy from the elements   0.212 eV per atom

This record from Alexandria via LeMat-Bulk describes an optimized crystal structure of NdMg2Zn2Ag. The functional is PBE.

Unit cell a=6.626 b=6.626 c=6.626 alpha=134.36 beta=134.36 gamma=66.53
Element x y z (fractional)
Nd 0.000 0.000 0.000
Mg 0.250 0.750 0.500
Mg 0.750 0.250 0.500
Zn 0.274 0.274 0.000
Zn 0.726 0.726 0.000
Ag 0.500 0.500 0.000

Final energy   -12.8 eV per cell
Formation energy from the elements   0.101 eV per atom

This record from Alexandria via LeMat-Bulk describes an optimized crystal structure of TePbSN2. The functional is PBE.

Unit cell a=4.367 b=4.367 c=6.861 alpha=90.00 beta=90.00 gamma=90.00
Element x y z (fractional)
Te 0.000 0.000 0.000
Pb 0.000 0.000 0.500
S 0.500 0.500 0.000
N 0.000 0.500 0.500
N 0.500 0.000 0.500

Final energy   -18.9 eV per cell

This record from Alexandria via LeMat-Bulk describes an optimized crystal structure of Zn2Rh3W. The functional is PBE.

Unit cell a=2.871 b=2.871 c=10.350 alpha=90.00 beta=90.00 gamma=90.00
Element x y z (fractional)
Zn 0.000 0.000 0.158
Zn 0.000 0.000 0.842
Rh 0.500 0.500 0.000
Rh 0.500 0.500 0.325
Rh 0.500 0.500 0.675
W 0.000 0.000 0.500

Final energy   -39.5 eV per cell
Formation energy from the elements   -0.332 eV per atom